(1)
Density functional theory data (PBE) for a relaxed PmAl2Ga2 crystal.

Cell and atoms, written as CIF:
```
data_PmAl2Ga2
_chemical_formula_sum 'Pm2 Al4 Ga4'
_space_group_name_H-M_alt 'I 4/m m m'
_space_group_IT_number 139
_space_group_name_Hall '-I 4 2'
_cell_length_a 4.191
_cell_length_b 4.191
_cell_length_c 11.237
_cell_angle_alpha 90.00
_cell_angle_beta 90.00
_cell_angle_gamma 90.00
loop_
_atom_site_label
_atom_site_type_symbol
_atom_site_fract_x
_atom_site_fract_y
_atom_site_fract_z
Pm1 Pm 0.000 0.000 0.000
Al1 Al 0.000 0.500 0.250
Ga1 Ga 0.000 0.000 0.389
```

=====

(2)
# PBE BOsWAu, optimized geometry
# - Offset from the most stable computed form: 0.0 meV/atom
data_BOsWAu
_chemical_formula_sum 'B4 Os4 W4 Au4'
_space_group_name_H-M_alt 'F -4 3 m'
_space_group_IT_number 216
_space_group_name_Hall 'F -4 2 3'
_cell_length_a 6.055
_cell_length_b 6.055
_cell_length_c 6.055
_cell_angle_alpha 90.00
_cell_angle_beta 90.00
_cell_angle_gamma 90.00
loop_
_atom_site_label
_atom_site_type_symbol
_atom_site_fract_x
_atom_site_fract_y
_atom_site_fract_z
B1 B 0.000 0.000 0.000
Os1 Os 0.250 0.250 0.250
W1 W 0.250 0.250 0.750
Au1 Au 0.000 0.000 0.500

=====

(3)
# PBE SrNp, optimized geometry
# - Offset from the most stable computed form: 789.0 meV/atom
data_SrNp
_chemical_formula_sum 'Sr4 Np4'
_space_group_name_H-M_alt 'F m -3 m'
_space_group_IT_number 225
_space_group_name_Hall '-F 4 2 3'
_cell_length_a 6.736
_cell_length_b 6.736
_cell_length_c 6.736
_cell_angle_alpha 90.00
_cell_angle_beta 90.00
_cell_angle_gamma 90.00
loop_
_atom_site_label
_atom_site_type_symbol
_atom_site_fract_x
_atom_site_fract_y
_atom_site_fract_z
Sr1 Sr 0.000 0.000 0.000
Np1 Np 0.000 0.000 0.500

=====

(4)
# PBE Tb2Dy2O5, optimized geometry
# - Offset from the most stable computed form: 0.0 meV/atom
data_Tb2Dy2O5
_chemical_formula_sum 'Tb2 Dy2 O5'
_space_group_name_H-M_alt 'P 4/m m m'
_space_group_IT_number 123
_space_group_name_Hall '-P 4 2'
_cell_length_a 3.901
_cell_length_b 3.901
_cell_length_c 9.423
_cell_angle_alpha 90.00
_cell_angle_beta 90.00
_cell_angle_gamma 90.00
loop_
_atom_site_label
_atom_site_type_symbol
_atom_site_fract_x
_atom_site_fract_y
_atom_site_fract_z
Tb1 Tb 0.000 0.000 0.000
Tb2 Tb 0.000 0.000 0.500
Dy1 Dy 0.500 0.500 0.243
O1 O 0.000 0.500 0.145
O2 O 0.500 0.500 0.500

=====

(5)
Density functional theory data (PBE) for a relaxed Dy2Ga5Hg crystal.

Cell and atoms, written as CIF:
```
data_Dy2Ga5Hg
_chemical_formula_sum 'Dy4 Ga10 Hg2'
_space_group_name_H-M_alt 'A m m 2'
_space_group_IT_number 38
_cell_length_a 4.610
_cell_length_b 6.434
_cell_length_c 10.909
_cell_angle_alpha 90.00
_cell_angle_beta 90.00
_cell_angle_gamma 90.00
loop_
_space_group_symop_operation_xyz
'x,y,z'
'-x,-y,z'
'-x,y,z'
'x,-y,z'
'x,y+1/2,z+1/2'
'-x,-y+1/2,z+1/2'
'-x,y+1/2,z+1/2'
'x,-y+1/2,z+1/2'
loop_
_atom_site_label
_atom_site_type_symbol
_atom_site_fract_x
_atom_site_fract_y
_atom_site_fract_z
Dy1 Dy 0.000 0.000 0.000
Dy2 Dy 0.500 0.000 0.321
Ga1 Ga 0.000 0.000 0.510
Ga2 Ga 0.000 0.222 0.730
Ga3 Ga 0.500 0.226 0.578
Hg1 Hg 0.500 0.000 0.821
```

=====

(6)
# PBE ErCdAu, optimized geometry
# - Energy of formation from the pure elements: -0.660 eV/atom
data_ErCdAu
_chemical_formula_sum 'Er3 Cd3 Au3'
_space_group_name_H-M_alt 'P -6 2 m'
_space_group_IT_number 189
_space_group_name_Hall 'P -6 -2'
_cell_length_a 7.7564
_cell_length_b 7.7564
_cell_length_c 3.8844
_cell_angle_alpha 90.00
_cell_angle_beta 90.00
_cell_angle_gamma 120.00
loop_
_atom_site_label
_atom_site_type_symbol
_atom_site_fract_x
_atom_site_fract_y
_atom_site_fract_z
Er1 Er 0.0000 0.4017 0.0000
Cd1 Cd 0.0000 0.7354 0.5000
Au1 Au 0.0000 0.0000 0.0000
Au2 Au 0.3333 0.6667 0.5000

=====

(7)
Density functional theory data (PBE) for a relaxed ZnCl2 crystal.

Cell and atoms, written as CIF:
```
data_ZnCl2
_chemical_formula_sum 'Zn4 Cl8'
_space_group_name_H-M_alt 'F m -3 m'
_space_group_IT_number 225
_space_group_name_Hall '-F 4 2 3'
_cell_length_a 6.251
_cell_length_b 6.251
_cell_length_c 6.251
_cell_angle_alpha 90.00
_cell_angle_beta 90.00
_cell_angle_gamma 90.00
loop_
_atom_site_label
_atom_site_type_symbol
_atom_site_fract_x
_atom_site_fract_y
_atom_site_fract_z
Zn1 Zn 0.000 0.000 0.000
Cl1 Cl 0.250 0.250 0.250
```

=====

(8)
Density functional theory data (PBE) for a relaxed Cu7PS6 crystal.

Cell and atoms, written as CIF:
```
data_Cu7PS6
_chemical_formula_sum 'Cu28 P4 S24'
_space_group_name_H-M_alt 'P 21 3'
_space_group_IT_number 198
_space_group_name_Hall 'P 2ac 2ab 3'
_cell_length_a 9.648
_cell_length_b 9.648
_cell_length_c 9.648
_cell_angle_alpha 90.00
_cell_angle_beta 90.00
_cell_angle_gamma 90.00
loop_
_atom_site_label
_atom_site_type_symbol
_atom_site_fract_x
_atom_site_fract_y
_atom_site_fract_z
Cu1 Cu 0.001 0.017 0.777
Cu2 Cu 0.074 0.405 0.263
Cu3 Cu 0.144 0.144 0.144
P1 P 0.245 0.255 0.745
S1 S 0.013 0.013 0.013
S2 S 0.112 0.370 0.868
S3 S 0.130 0.870 0.370
S4 S 0.227 0.727 0.773
```

=====

(9)
# PBE YMgTlPd, optimized geometry
# - Offset from the most stable computed form: 0.0 meV/atom
data_YMgTlPd
_chemical_formula_sum 'Y4 Mg4 Tl4 Pd4'
_space_group_name_H-M_alt 'F -4 3 m'
_space_group_IT_number 216
_space_group_name_Hall 'F -4 2 3'
_cell_length_a 7.048
_cell_length_b 7.048
_cell_length_c 7.048
_cell_angle_alpha 90.00
_cell_angle_beta 90.00
_cell_angle_gamma 90.00
loop_
_atom_site_label
_atom_site_type_symbol
_atom_site_fract_x
_atom_site_fract_y
_atom_site_fract_z
Y1 Y 0.000 0.000 0.000
Mg1 Mg 0.000 0.000 0.500
Tl1 Tl 0.250 0.250 0.750
Pd1 Pd 0.250 0.250 0.250

=====

(10)
# PBE Y3Ho, optimized geometry
# - Energy of formation from the pure elements: 0.002 eV/atom
data_Y3Ho
_chemical_formula_sum 'Y3 Ho1'
_space_group_name_H-M_alt 'P m m 2'
_space_group_IT_number 25
_cell_length_a 3.632
_cell_length_b 5.635
_cell_length_c 6.293
_cell_angle_alpha 90.00
_cell_angle_beta 90.00
_cell_angle_gamma 90.00
loop_
_space_group_symop_operation_xyz
'x,y,z'
'-x,-y,z'
'-x,y,z'
'x,-y,z'
loop_
_atom_site_label
_atom_site_type_symbol
_atom_site_fract_x
_atom_site_fract_y
_atom_site_fract_z
Y1 Y 0.000 0.000 0.000
Y2 Y 0.000 0.500 0.334
Y3 Y 0.500 0.500 0.833
Ho1 Ho 0.500 0.000 0.500

=====

(11)
# PBE Pa, optimized geometry
# - Offset from the most stable computed form: 0.0 meV/atom
# - Energy of formation from the pure elements: 0.000 eV/atom
data_Pa
_chemical_formula_sum 'Pa3'
_space_group_name_H-M_alt 'R -3 m'
_space_group_IT_number 166
_space_group_name_Hall '-R 3 2"'
_cell_length_a 3.2812
_cell_length_b 3.2812
_cell_length_c 8.0031
_cell_angle_alpha 90.00
_cell_angle_beta 90.00
_cell_angle_gamma 120.00
loop_
_atom_site_label
_atom_site_type_symbol
_atom_site_fract_x
_atom_site_fract_y
_atom_site_fract_z
Pa1 Pa 0.0000 0.0000 0.0000

=====

(12)
# PBE Tb2HoCd3AgAu2, optimized geometry
# - Energy of formation from the pure elements: -0.582 eV/atom
data_Tb2HoCd3AgAu2
_chemical_formula_sum 'Tb4 Ho2 Cd6 Ag2 Au4'
_space_group_name_H-M_alt 'A m m 2'
_space_group_IT_number 38
_cell_length_a 3.836
_cell_length_b 13.636
_cell_length_c 7.877
_cell_angle_alpha 90.00
_cell_angle_beta 90.00
_cell_angle_gamma 90.00
loop_
_space_group_symop_operation_xyz
'x,y,z'
'-x,-y,z'
'-x,y,z'
'x,-y,z'
'x,y+1/2,z+1/2'
'-x,-y+1/2,z+1/2'
'-x,y+1/2,z+1/2'
'x,-y+1/2,z+1/2'
loop_
_atom_site_label
_atom_site_type_symbol
_atom_site_fract_x
_atom_site_fract_y
_atom_site_fract_z
Tb1 Tb 0.000 0.204 0.000
Ho1 Ho 0.000 0.000 0.613
Cd1 Cd 0.500 0.000 0.941
Cd2 Cd 0.500 0.131 0.336
Ag1 Ag 0.000 0.000 0.204
Au1 Au 0.500 0.166 0.704

=====

Number 1: calculated total energy -4.0905 eV/atom. Number 2: calculated total energy -7.5930 eV/atom. Number 3: calculated total energy -5.5682 eV/atom. Number 4: calculated total energy -7.6969 eV/atom. Number 5: calculated total energy -3.5469 eV/atom. Number 6: calculated total energy -3.5680 eV/atom. Number 7: calculated total energy -2.2784 eV/atom. Number 8: calculated total energy -4.1945 eV/atom. Number 9: calculated total energy -4.3878 eV/atom. Number 10: calculated total energy -5.9911 eV/atom. Number 11: calculated total energy -9.4958 eV/atom. Number 12: calculated total energy -3.4576 eV/atom.